First-principles (PBE-GGA) data for a relaxed structure of TbLu2Pt, as listed in the Alexandria database.

Space group: P4/mmm, No. 123
Formation energy from the elements in kcal/mol of atoms: -14.83
Magnetic moment in μB/cell: 0.00
Total energy in eV per atom: -5.57
ΔE to the lowest computed polymorph in eV/atom: 0.000

a b c (Å): 3.4911 3.4911 8.3805
angles (deg): 90.00 90.00 90.00
Atoms (fractional coordinates):
Lu 0.0000 0.0000 0.8065
Lu 0.0000 0.0000 0.1935
Tb 0.5000 0.5000 0.5000
Pt 0.5000 0.5000 0.0000